Below is a geometry-optimized Er3ZrTl3Te8 structure, with properties calculated at the GGA-PBE level.

The structure in POSCAR format:
```
Er3ZrTl3Te8
1.0
-1.6282 -8.3304 -1.7131
4.2132 4.8675 -5.7868
4.9612 -2.5948 7.9020
Er Tl Te Zr
3 3 8 1
direct
0.5000 0.5000 0.5000
0.5000 0.0000 0.5000
0.0000 0.5000 0.5000
0.0000 0.0000 0.0000
0.0000 0.5000 0.0000
0.5000 0.5000 0.0000
0.2624 0.5249 0.2874
0.7696 0.0230 0.2927
0.2304 0.4608 0.7074
0.2304 0.9770 0.7073
0.7376 0.4751 0.7126
0.2533 0.0230 0.2927
0.7696 0.5392 0.2926
0.7467 0.9770 0.7073
0.0000 0.0000 0.5000
```

Properties
Space group = R-3m
Formation energy (no corrections) = -0.99 eV per atom
Total magnetization = 0.0 μB/cell